A plane-wave DFT calculation with PBE-GGA was carried out for a relaxed structure of Li4ZnSnPt2.

abc: 4.3958 4.3958 6.1459
angles: 90.00 90.00 90.00
Space group P-4m2 (No. 115)
Unique sites:
Li 0.0000 0.0000 0.0000 [1 per cell]
Li 0.0000 0.5000 0.7232 [2 per cell]
Li 0.5000 0.5000 0.5000 [1 per cell]
Zn 0.0000 0.0000 0.5000 [1 per cell]
Sn 0.5000 0.5000 0.0000 [1 per cell]
Pt 0.0000 0.5000 0.2572 [2 per cell]

=====

A plane-wave DFT calculation with PBE-GGA was carried out for a relaxed structure of Li4Zn2SnPt.

abc: 4.3886 4.3886 6.2719
angles: 90.00 90.00 90.00
Space group P-4m2 (No. 115)
Unique sites:
Li 0.0000 0.0000 0.0000 [1 per cell]
Li 0.0000 0.5000 0.2284 [2 per cell]
Li 0.5000 0.5000 0.5000 [1 per cell]
Zn 0.0000 0.5000 0.7731 [2 per cell]
Sn 0.0000 0.0000 0.5000 [1 per cell]
Pt 0.5000 0.5000 0.0000 [1 per cell]

=====

A plane-wave DFT calculation with PBE-GGA was carried out for a relaxed structure of Li4ZnSn2Pt.

abc: 4.5027 4.5027 6.4335
angles: 90.00 90.00 90.00
Space group P-4m2 (No. 115)
Unique sites:
Li 0.0000 0.0000 0.0000 [1 per cell]
Li 0.0000 0.5000 0.2444 [2 per cell]
Li 0.5000 0.5000 0.5000 [1 per cell]
Zn 0.0000 0.0000 0.5000 [1 per cell]
Sn 0.0000 0.5000 0.7583 [2 per cell]
Pt 0.5000 0.5000 0.0000 [1 per cell]

=====

A plane-wave DFT calculation with PBE-GGA was carried out for a relaxed structure of SrLiPt.

abc: 4.2817 4.2817 7.3769
angles: 90.00 90.00 90.00
Space group P4/nmm (No. 129, origin choice 2)
Unique sites:
Sr 0.2500 0.2500 0.1662 [2 per cell]
Li 0.2500 0.7500 0.5000 [2 per cell]
Pt 0.2500 0.2500 0.7212 [2 per cell]

Summary:
- ΔE to the lowest computed polymorph: 0 meV per atom

=====

A plane-wave DFT calculation with PBE-GGA was carried out for a relaxed structure of Sr2LiPt2.

abc: 10.0925 5.8998 8.2428
angles: 90.00 102.77 90.00
Space group C2/c (No. 15)
Unique sites:
Sr 0.1509 0.1371 0.1509 [8 per cell]
Li 0.0000 0.3965 0.7500 [4 per cell]
Pt 0.1305 0.3662 0.5043 [8 per cell]

=====

A plane-wave DFT calculation with PBE-GGA was carried out for a relaxed structure of Sr3LiPt8.

abc: 5.5045 5.5045 26.9633
angles: 90.00 90.00 120.00
Space group R3m (No. 160, hexagonal axes)
Unique sites:
Sr 0.0000 0.0000 0.0000 [3 per cell]
Sr 0.0000 0.0000 0.1278 [3 per cell]
Sr 0.0000 0.0000 0.6184 [3 per cell]
Li 0.0000 0.0000 0.4931 [3 per cell]
Pt 0.0000 0.0000 0.3119 [3 per cell]
Pt 0.0000 0.0000 0.8122 [3 per cell]
Pt 0.0003 0.5002 0.5608 [9 per cell]
Pt 0.0013 0.5006 0.0631 [9 per cell]

=====

A plane-wave DFT calculation with PBE-GGA was carried out for a relaxed structure of SrLiPt.

abc: 6.8604 6.8604 6.8604
angles: 90.00 90.00 90.00
Space group F-43m (No. 216)
Unique sites:
Sr 0.0000 0.0000 0.0000 [4 per cell]
Li 0.0000 0.0000 0.5000 [4 per cell]
Pt 0.2500 0.2500 0.7500 [4 per cell]

Summary:
- ΔE to the lowest computed polymorph: 207 meV per atom

=====

A plane-wave DFT calculation with PBE-GGA was carried out for a relaxed structure of SrLiPt.

abc: 6.8981 6.8981 6.8981
angles: 90.00 90.00 90.00
Space group F-43m (No. 216)
Unique sites:
Sr 0.0000 0.0000 0.0000 [4 per cell]
Li 0.2500 0.2500 0.7500 [4 per cell]
Pt 0.2500 0.2500 0.2500 [4 per cell]

Summary:
- ΔE to the lowest computed polymorph: 632 meV per atom

=====

A plane-wave DFT calculation with PBE-GGA was carried out for a relaxed structure of SrLi2Pt2.

abc: 4.1767 4.1767 11.2019
angles: 90.00 90.00 90.00
Space group I4/mmm (No. 139)
Unique sites:
Sr 0.0000 0.0000 0.0000 [2 per cell]
Li 0.0000 0.5000 0.2500 [4 per cell]
Pt 0.0000 0.0000 0.3825 [4 per cell]

=====

A plane-wave DFT calculation with PBE-GGA was carried out for a relaxed structure of SrLiTaPt.

abc: 6.8731 6.8731 6.8731
angles: 90.00 90.00 90.00
Space group F-43m (No. 216)
Unique sites:
Sr 0.0000 0.0000 0.0000 [4 per cell]
Li 0.2500 0.2500 0.2500 [4 per cell]
Ta 0.0000 0.0000 0.5000 [4 per cell]
Pt 0.2500 0.2500 0.7500 [4 per cell]

Summary:
- ΔE to the lowest computed polymorph: 75 meV per atom

=====

A plane-wave DFT calculation with PBE-GGA was carried out for a relaxed structure of SrLiTaPt.

abc: 6.6718 6.6718 6.6718
angles: 90.00 90.00 90.00
Space group F-43m (No. 216)
Unique sites:
Sr 0.0000 0.0000 0.0000 [4 per cell]
Li 0.2500 0.2500 0.2500 [4 per cell]
Ta 0.2500 0.2500 0.7500 [4 per cell]
Pt 0.0000 0.0000 0.5000 [4 per cell]

Summary:
- ΔE to the lowest computed polymorph: 0 meV per atom

=====

A plane-wave DFT calculation with PBE-GGA was carried out for a relaxed structure of LiTaZnPt.

abc: 6.1686 6.1686 6.1686
angles: 90.00 90.00 90.00
Space group F-43m (No. 216)
Unique sites:
Li 0.0000 0.0000 0.0000 [4 per cell]
Ta 0.2500 0.2500 0.2500 [4 per cell]
Zn 0.2500 0.2500 0.7500 [4 per cell]
Pt 0.0000 0.0000 0.5000 [4 per cell]

Summary:
- ΔE to the lowest computed polymorph: 0 meV per atom

=====

Number 1: E -3.7172 eV/atom. Number 2: E -2.9516 eV/atom. Number 3: E -3.3729 eV/atom. Number 4: E -3.8453 eV/atom. Number 5: E -4.2038 eV/atom. Number 6: E -5.4002 eV/atom. Number 7: E -3.6384 eV/atom. Number 8: E -3.2136 eV/atom. Number 9: E -4.0996 eV/atom. Number 10: E -5.0992 eV/atom. Number 11: E -5.1743 eV/atom. Number 12: E -5.7137 eV/atom.